Compound: YTmSi2Ir
Source: OQMD via LeMat-Bulk
Functional: PBE-GGA
Structure: relaxed

Output
- magnetization (μB per atom) = 0.00
- total energy (eV per formula unit) = -35.58

Geometry as CIF:
```
data_YTmSi2Ir
_chemical_formula_sum 'Y4 Tm4 Si8 Ir4'
_cell_length_a 10.512
_cell_length_b 4.201
_cell_length_c 9.974
_cell_angle_alpha 90.00
_cell_angle_beta 118.68
_cell_angle_gamma 90.00
_symmetry_space_group_name_H-M 'C 1 2/m 1'
_symmetry_Int_Tables_number 12
loop_
_symmetry_equiv_pos_as_xyz
'x,y,z'
'-x,-y,-z'
'-x,y,-z'
'x,-y,z'
'x+1/2,y+1/2,z'
'-x+1/2,-y+1/2,-z'
'-x+1/2,y+1/2,-z'
'x+1/2,-y+1/2,z'
loop_
_atom_site_label
_atom_site_type_symbol
_atom_site_fract_x
_atom_site_fract_y
_atom_site_fract_z
Y1 Y 0.185 0.000 0.108
Tm1 Tm 0.004 0.000 0.676
Si1 Si 0.011 0.500 0.876
Si2 Si 0.140 0.500 0.565
Ir1 Ir 0.228 0.500 0.374
```


Compound: Ag2HgGeTe2S2
Source: OQMD via LeMat-Bulk
Functional: PBE-GGA
Structure: relaxed

Output
- excess energy over the best structure of this formula in the dataset (eV/atom) = 0.000
- total energy (eV per formula unit) = -26.31

Geometry as CIF:
```
data_Ag2HgGeTe2S2
_chemical_formula_sum 'Ag4 Hg2 Ge2 Te4 S4'
_cell_length_a 13.500
_cell_length_b 6.049
_cell_length_c 6.080
_cell_angle_alpha 90.00
_cell_angle_beta 115.23
_cell_angle_gamma 90.00
_symmetry_space_group_name_H-M 'C 1 2 1'
_symmetry_Int_Tables_number 5
loop_
_symmetry_equiv_pos_as_xyz
'x,y,z'
'-x,y,-z'
'x+1/2,y+1/2,z'
'-x+1/2,y+1/2,-z'
loop_
_atom_site_label
_atom_site_type_symbol
_atom_site_fract_x
_atom_site_fract_y
_atom_site_fract_z
Ag1 Ag 0.248 0.000 0.308
Hg1 Hg 0.000 0.474 0.000
Ge1 Ge 0.000 0.950 0.500
Te1 Te 0.136 0.207 0.854
S1 S 0.111 0.751 0.377
```


Compound: ZrZn2Te2
Source: OQMD via LeMat-Bulk
Functional: PBE-GGA
Structure: relaxed

Output
- magnetization (μB per atom) = 0.02
- total energy (eV per formula unit) = -17.32

Geometry as CIF:
```
data_ZrZn2Te2
_chemical_formula_sum 'Zr2 Zn4 Te4'
_cell_length_a 5.138
_cell_length_b 5.138
_cell_length_c 8.064
_cell_angle_alpha 90.00
_cell_angle_beta 90.00
_cell_angle_gamma 90.00
_symmetry_space_group_name_H-M 'I 4/m m m'
_symmetry_Int_Tables_number 139
_symmetry_space_group_name_Hall '-I 4 2'
loop_
_atom_site_label
_atom_site_type_symbol
_atom_site_fract_x
_atom_site_fract_y
_atom_site_fract_z
Zr1 Zr 0.000 0.000 0.000
Zn1 Zn 0.000 0.000 0.356
Te1 Te 0.000 0.500 0.250
```


Compound: ZrCo2B
Source: OQMD via LeMat-Bulk
Functional: PBE-GGA
Structure: relaxed

Output
- magnetization (μB per atom) = 0.00
- total energy (eV per formula unit) = -30.31

Geometry as CIF:
```
data_ZrCo2B
_chemical_formula_sum 'Zr2 Co4 B2'
_cell_length_a 3.578
_cell_length_b 5.157
_cell_length_c 5.403
_cell_angle_alpha 90.00
_cell_angle_beta 90.00
_cell_angle_gamma 90.00
_symmetry_space_group_name_H-M 'P m n 21'
_symmetry_Int_Tables_number 31
loop_
_symmetry_equiv_pos_as_xyz
'x,y,z'
'-x+1/2,-y,z+1/2'
'-x,y,z'
'x+1/2,-y,z+1/2'
loop_
_atom_site_label
_atom_site_type_symbol
_atom_site_fract_x
_atom_site_fract_y
_atom_site_fract_z
Zr1 Zr 0.000 0.112 0.000
Co1 Co 0.000 0.260 0.507
Co2 Co 0.000 0.593 0.779
B1 B 0.000 0.612 0.170
```